# PBE-GGA NpAsP2, optimized geometry
data_NpAsP2
_chemical_formula_sum 'Np1 As1 P2'
_cell_length_a 4.2035
_cell_length_b 4.2035
_cell_length_c 3.9114
_cell_angle_alpha 90.00
_cell_angle_beta 90.00
_cell_angle_gamma 90.00
_symmetry_space_group_name_H-M 'P 1'
_symmetry_Int_Tables_number 1
_symmetry_space_group_name_Hall 'P 1'
loop_
_atom_site_label
_atom_site_fract_x
_atom_site_fract_y
_atom_site_fract_z
Np1 0.0000 0.0000 0.0000
As1 0.5000 0.5000 0.0000
P1 0.0000 0.5000 0.5000
P2 0.5000 0.0000 0.5000
# * Fermi-level density of states: 8.7 states/eV/cell
# * formation enthalpy at 0 K: -1.273 eV per formula unit
# * energy: -29.68 eV per formula unit

=====

# PBE-GGA Ce2AgRu, optimized geometry
data_Ce2AgRu
_chemical_formula_sum 'Ce2 Ag1 Ru1'
_cell_length_a 7.7062
_cell_length_b 7.7062
_cell_length_c 7.7062
_cell_angle_alpha 30.37
_cell_angle_beta 30.37
_cell_angle_gamma 30.37
_symmetry_space_group_name_H-M 'P 1'
_symmetry_Int_Tables_number 1
_symmetry_space_group_name_Hall 'P 1'
loop_
_atom_site_label
_atom_site_fract_x
_atom_site_fract_y
_atom_site_fract_z
Ce1 0.0000 0.0000 0.0000
Ce2 0.1966 0.1966 0.1966
Ag1 0.7644 0.7644 0.7644
Ru1 0.5984 0.5984 0.5984
# * Fermi-level density of states: 8.8 states/eV/cell
# * formation enthalpy at 0 K: -0.612 eV per formula unit
# * energy: -24.61 eV per formula unit

=====

# PBE-GGA PmUAsAu, optimized geometry
data_PmUAsAu
_chemical_formula_sum 'Pm1 U1 As1 Au1'
_cell_length_a 5.1323
_cell_length_b 5.1323
_cell_length_c 5.1323
_cell_angle_alpha 60.00
_cell_angle_beta 60.00
_cell_angle_gamma 60.00
_symmetry_space_group_name_H-M 'P 1'
_symmetry_Int_Tables_number 1
_symmetry_space_group_name_Hall 'P 1'
loop_
_atom_site_label
_atom_site_fract_x
_atom_site_fract_y
_atom_site_fract_z
Pm1 0.0000 0.0000 0.0000
U1 0.5000 0.5000 0.5000
As1 0.2500 0.2500 0.2500
Au1 0.7500 0.7500 0.7500
# * Fermi-level density of states: 5.9 states/eV/cell
# * formation enthalpy at 0 K: -1.975 eV per formula unit
# * energy: -25.94 eV per formula unit

=====

# PBE-GGA DyLuTlCd, optimized geometry
data_DyLuTlCd
_chemical_formula_sum 'Dy1 Lu1 Tl1 Cd1'
_cell_length_a 5.2803
_cell_length_b 5.2803
_cell_length_c 5.2803
_cell_angle_alpha 60.00
_cell_angle_beta 60.00
_cell_angle_gamma 60.00
_symmetry_space_group_name_H-M 'P 1'
_symmetry_Int_Tables_number 1
_symmetry_space_group_name_Hall 'P 1'
loop_
_atom_site_label
_atom_site_fract_x
_atom_site_fract_y
_atom_site_fract_z
Dy1 0.0000 0.0000 0.0000
Lu1 0.5000 0.5000 0.5000
Tl1 0.7500 0.7500 0.7500
Cd1 0.2500 0.2500 0.2500
# * Fermi-level density of states: 4.0 states/eV/cell
# * formation enthalpy at 0 K: -1.234 eV per formula unit
# * energy: -13.64 eV per formula unit

=====

# PBE-GGA Cu3RuCl2F6, optimized geometry
data_Cu3RuCl2F6
_chemical_formula_sum 'Cu3 Ru1 Cl2 F6'
_cell_length_a 7.0681
_cell_length_b 7.0681
_cell_length_c 4.7624
_cell_angle_alpha 92.77
_cell_angle_beta 92.77
_cell_angle_gamma 50.71
_symmetry_space_group_name_H-M 'P 1'
_symmetry_Int_Tables_number 1
_symmetry_space_group_name_Hall 'P 1'
loop_
_atom_site_label
_atom_site_fract_x
_atom_site_fract_y
_atom_site_fract_z
Cu1 0.0000 0.0000 0.0000
Cu2 0.0000 0.5000 0.5000
Cu3 0.5000 0.0000 0.5000
Ru1 0.5000 0.5000 0.5000
Cl1 0.1838 0.1838 0.2010
Cl2 0.8162 0.8162 0.7990
F1 0.2077 0.6792 0.2526
F2 0.3208 0.7923 0.7474
F3 0.3614 0.3614 0.6698
F4 0.6386 0.6386 0.3302
F5 0.6792 0.2077 0.2526
F6 0.7923 0.3208 0.7474
# * raw formation energy: -1.237 eV/atom
# * Fermi-level density of states: 6.5 states/eV/cell
# * energy: -51.33 eV per formula unit

=====

# PBE-GGA Sc2TaCl, optimized geometry
data_Sc2TaCl
_chemical_formula_sum 'Sc2 Ta1 Cl1'
_cell_length_a 6.0887
_cell_length_b 6.0887
_cell_length_c 6.0887
_cell_angle_alpha 151.14
_cell_angle_beta 130.09
_cell_angle_gamma 58.68
_symmetry_space_group_name_H-M 'P 1'
_symmetry_Int_Tables_number 1
_symmetry_space_group_name_Hall 'P 1'
loop_
_atom_site_label
_atom_site_fract_x
_atom_site_fract_y
_atom_site_fract_z
Sc1 0.0000 0.0000 0.0000
Sc2 0.6915 0.1915 0.5000
Ta1 0.4485 0.4485 0.0000
Cl1 0.2423 0.7423 0.5000
# * raw formation energy: -0.055 eV/atom
# * Fermi-level density of states: 3.9 states/eV/cell
# * energy: -26.58 eV per formula unit